# TlCI3

An optimized crystal structure of TlCI3 (PBE-GGA, Alexandria).

```
TlCI3
1.0
6.081 0.000 0.000
0.000 6.081 0.000
0.000 0.000 6.081
Tl C I
1 1 3
direct
0.000 0.000 0.000
0.500 0.500 0.500
0.000 0.000 0.500
0.000 0.500 0.000
0.500 0.000 0.000
```

Values from the calculation:
The calculation puts the uncorrected formation energy at 1.476 eV per atom. As for the space group: Pm-3m, No. 221.